[1]
DFT (PBE) results for a relaxed SrMg14B crystal.

Unit cell a=6.521 b=6.521 c=10.105 alpha=90.00 beta=90.00 gamma=120.00
Element x y z (fractional)
Mg: 0.980 0.490 0.500
Mg: 0.158 0.842 0.283
Mg: 0.683 0.842 0.717
Mg: 0.510 0.490 0.500
Mg: 0.667 0.333 0.760
Mg: 0.667 0.333 0.240
Mg: 0.015 0.507 0.000
Mg: 0.493 0.507 0.000
Mg: 0.158 0.842 0.717
Mg: 0.493 0.985 0.000
Mg: 0.158 0.317 0.283
Mg: 0.683 0.842 0.283
Mg: 0.158 0.317 0.717
Mg: 0.510 0.020 0.500
B: 0.000 0.000 0.500
Sr: 0.000 0.000 0.000

Results
ΔE_f	221	meV per atom
density	2.0	g cm⁻³
symmetry	P-6m2
total moment	0.0	μB/f.u.

[2]
DFT (PBE) results for a relaxed HfW2Cl crystal.

Unit cell a=3.714 b=3.714 c=11.033 alpha=80.31 beta=80.31 gamma=90.00
Element x y z (fractional)
Hf: 0.000 0.000 0.000
Hf: 0.750 0.250 0.500
W: 0.112 0.625 0.250
W: 0.638 0.125 0.250
W: 0.375 0.362 0.750
W: 0.875 0.888 0.750
Cl: 0.250 0.750 0.500
Cl: 0.500 0.500 0.000

Results
E_tot	-8.710	eV per atom
density	13.1	g cm⁻³
symmetry	I-42d
total moment	0.0	μB/f.u.

[3]
DFT (PBE) results for a relaxed TaCu5Pt6 crystal.

Unit cell a=3.965 b=7.326 c=6.257 alpha=90.00 beta=71.53 gamma=90.00
Element x y z (fractional)
Cu: 0.330 0.000 0.340
Cu: 0.000 0.500 0.000
Cu: 0.663 0.500 0.674
Cu: 0.670 0.000 0.660
Cu: 0.337 0.500 0.326
Pt: 0.500 0.246 0.000
Pt: 0.833 0.747 0.334
Pt: 0.167 0.747 0.666
Pt: 0.500 0.754 0.000
Pt: 0.167 0.253 0.666
Pt: 0.833 0.253 0.334
Ta: 0.000 0.000 0.000

Results
ΔE_f	-356	meV per atom
density	16.1	g cm⁻³
symmetry	Cmmm
total moment	0.0	μB/f.u.

[4]
DFT (PBE) results for a relaxed SrGdCuRh crystal.

Unit cell a=5.040 b=5.040 c=5.040 alpha=60.00 beta=60.00 gamma=60.00
Site moments in Bohr magnetons follow the coordinates.
Element x y z (fractional)
Rh: 0.500 0.500 0.500  0.04
Gd: 0.250 0.250 0.250  -7.03
Cu: 0.000 0.000 0.000  0.00
Sr: 0.750 0.750 0.750  0.00

Results
ΔE_f	-250	meV per atom
density	7.5	g cm⁻³
symmetry	F-43m
total moment	7.1	μB/f.u.

[5]
DFT (PBE) results for a relaxed TmAl3Cu2 crystal.

Unit cell a=5.301 b=6.193 c=6.193 alpha=98.78 beta=90.00 gamma=90.00
Element x y z (fractional)
Al: 0.750 0.025 0.025
Al: 0.750 0.111 0.448
Al: 0.750 0.448 0.111
Al: 0.250 0.889 0.552
Al: 0.250 0.975 0.975
Al: 0.250 0.552 0.889
Cu: 0.000 0.225 0.775
Cu: 0.500 0.225 0.775
Cu: 0.000 0.775 0.225
Cu: 0.500 0.775 0.225
Tm: 0.750 0.647 0.647
Tm: 0.250 0.353 0.353

Results
ΔE_f	-312	meV per atom
density	6.2	g cm⁻³
symmetry	Cmcm
total moment	0.0	μB/f.u.

[6]
DFT (PBE) results for a relaxed TiV3 crystal.

Unit cell a=3.567 b=3.567 c=5.178 alpha=110.15 beta=110.15 gamma=90.00
Element x y z (fractional)
V: 0.500 0.500 0.000
V: 0.250 0.750 0.500
V: 0.750 0.250 0.500
Ti: 0.000 0.000 0.000

Results
ΔE_f	145	meV per atom
density	5.8	g cm⁻³
symmetry	I4/mmm
total moment	0.0	μB/f.u.

[7]
DFT (PBE) results for a relaxed AcGa2IrRu crystal.

Unit cell a=4.482 b=4.482 c=5.897 alpha=112.34 beta=112.34 gamma=90.00
Element x y z (fractional)
Ac: 0.000 0.000 0.000
Ru: 0.250 0.750 0.500
Ga: 0.636 0.636 0.273
Ga: 0.364 0.364 0.727
Ir: 0.750 0.250 0.500

Results
ΔE_f	-580	meV per atom
density	11.0	g cm⁻³
symmetry	I-4m2
total moment	0.0	μB/f.u.

[8]
DFT (PBE) results for a relaxed Ho6PC3 crystal.

Unit cell a=3.649 b=12.344 c=10.283 alpha=114.98 beta=90.00 gamma=90.00
Site moments in Bohr magnetons follow the coordinates.
Element x y z (fractional)
Ho: 0.750 0.405 0.589  0.16
Ho: 0.750 0.730 0.248  0.15
Ho: 0.750 0.427 0.079  0.27
Ho: 0.250 0.270 0.752  0.15
Ho: 0.250 0.595 0.411  0.16
Ho: 0.750 0.756 0.736  0.14
Ho: 0.250 0.897 0.561  0.06
Ho: 0.750 0.926 0.072  0.11
Ho: 0.250 0.074 0.928  0.11
Ho: 0.750 0.103 0.439  0.06
Ho: 0.250 0.244 0.264  0.14
Ho: 0.250 0.573 0.921  0.27
C: 0.750 0.743 0.492  0.00
C: 0.250 0.572 0.162  -0.01
C: 0.250 0.871 0.882  0.01
C: 0.750 0.129 0.118  0.01
C: 0.750 0.428 0.838  -0.01
C: 0.250 0.257 0.508  0.00
P: 0.250 0.917 0.291  -0.01
P: 0.750 0.083 0.709  -0.01

Results
ΔE_f	-526	meV per atom
density	8.4	g cm⁻³
symmetry	P2_1/m
total moment	1.4	μB/f.u.

> Which of these has the highest density?

TaCu5Pt6

> Which of these has the lowest density?

SrMg14B